First-principles (PBE+U) data for crystalline V2AgP3O11 at its relaxed geometry, as listed in Alexandria.

Calculated values
E_tot, eV/atom: -7.24
Volume, Å³ per atom: 12.2

Cell and atoms, written as CIF:
```
data_V2AgP3O11
_chemical_formula_sum 'V4 Ag2 P6 O22'
_symmetry_space_group_name_H-M 'P 1'
_symmetry_Int_Tables_number 1
_cell_length_a 7.334
_cell_length_b 7.334
_cell_length_c 8.910
_cell_angle_alpha 70.27
_cell_angle_beta 70.27
_cell_angle_gamma 72.74
loop_
_symmetry_equiv_pos_as_xyz
'x,y,z'
loop_
_atom_site_label
_atom_site_type_symbol
_atom_site_fract_x
_atom_site_fract_y
_atom_site_fract_z
_atom_site_occupancy
V1 V 0.885 0.364 0.210 1
V2 V 0.636 0.115 0.790 1
V3 V 0.113 0.638 0.290 1
V4 V 0.362 0.887 0.710 1
Ag1 Ag 0.998 0.502 0.751 1
Ag2 Ag 0.498 0.002 0.249 1
P1 P 0.324 0.453 0.965 1
P2 P 0.547 0.676 0.035 1
P3 P 0.674 0.549 0.535 1
P4 P 0.451 0.326 0.465 1
P5 P 0.957 0.043 0.000 1
P6 P 0.041 0.959 0.500 1
O1 O 0.511 0.489 0.000 1
O2 O 0.487 0.513 0.500 1
O3 O 0.615 0.277 0.316 1
O4 O 0.723 0.385 0.684 1
O5 O 0.384 0.725 0.184 1
O6 O 0.275 0.616 0.816 1
O7 O 0.755 0.614 0.057 1
O8 O 0.386 0.245 0.943 1
O9 O 0.243 0.388 0.443 1
O10 O 0.612 0.757 0.557 1
O11 O 0.952 0.248 0.020 1
O12 O 0.752 0.048 0.980 1
O13 O 0.046 0.754 0.480 1
O14 O 0.246 0.954 0.520 1
O15 O 0.015 0.124 0.343 1
O16 O 0.876 0.985 0.657 1
O17 O 0.983 0.878 0.157 1
O18 O 0.122 0.017 0.843 1
O19 O 0.154 0.469 0.126 1
O20 O 0.531 0.846 0.874 1
O21 O 0.844 0.532 0.374 1
O22 O 0.468 0.156 0.626 1
```